An optimized crystal structure of Cs2NaTcPd, computed with PBEsol.

- Space-group type: P4/mmm
- Uncorrected energy: -15.42 eV for the cell shown
- Magnetization: 0.0 μB per formula unit
- V: 168.8 Å³/cell

abc: 5.928 5.928 4.804
angles: 90.00 90.00 90.00
Positions (direct):
Cs 0.000 0.500 0.000
Cs 0.500 0.000 0.000
Na 0.000 0.000 0.500
Tc 0.500 0.500 0.000
Pd 0.500 0.500 0.500